Record 1
Here is a geometry-optimized ZnTeSCl2 structure from the Alexandria database. Energies are from GGA-PBE.

Properties
**Total energy**: -11.75 eV per formula unit
**Raw formation energy**: 0.0971 eV per atom

Cell lengths 5.351, 5.351, 5.067 Å; angles 90.00, 90.00, 90.00 degrees
Sites, in units of the cell vectors:
Zn  0.500  0.500  0.500
Te  0.000  0.000  0.000
S  0.000  0.000  0.500
Cl  0.000  0.500  0.000
Cl  0.500  0.000  0.000

***

Record 2
Here is a geometry-optimized ZnTeS2Cl structure from the Alexandria database. Energies are from GGA-PBE.

Properties
**Total energy**: -13.54 eV per formula unit
**Raw formation energy**: 0.1947 eV per atom

Cell lengths 4.810, 4.810, 4.598 Å; angles 90.00, 90.00, 90.00 degrees
Sites, in units of the cell vectors:
Zn  0.000  0.000  0.000
Te  0.500  0.500  0.500
S  0.000  0.500  0.000
S  0.500  0.000  0.000
Cl  0.000  0.000  0.500

***

Record 3
Here is a geometry-optimized ZnTeS2Cl structure from the Alexandria database. Energies are from GGA-PBE.

Properties
**Total energy**: -12.69 eV per formula unit
**Raw formation energy**: 0.3657 eV per atom

Cell lengths 5.123, 5.123, 5.203 Å; angles 90.00, 90.00, 90.00 degrees
Sites, in units of the cell vectors:
Zn  0.500  0.500  0.500
Te  0.000  0.000  0.000
S  0.000  0.500  0.000
S  0.500  0.000  0.000
Cl  0.000  0.000  0.500

***

Record 4
Here is a geometry-optimized ZrTeS2Cl structure from the Alexandria database. Energies are from GGA-PBE.

Properties
**Total energy**: -19.52 eV per formula unit
**Raw formation energy**: 0.4546 eV per atom

Cell lengths 5.210, 5.210, 4.980 Å; angles 90.00, 90.00, 90.00 degrees
Sites, in units of the cell vectors:
S  0.000  0.500  0.000
S  0.500  0.000  0.000
Te  0.000  0.000  0.000
Zr  0.500  0.500  0.500
Cl  0.000  0.000  0.500

***

Record 5
Here is a geometry-optimized ZrTeSCl2 structure from the Alexandria database. Energies are from GGA-PBE.

Properties
**Total energy**: -22.84 eV per formula unit
**Raw formation energy**: -0.6658 eV per atom

Cell lengths 5.158, 5.158, 5.007 Å; angles 90.00, 90.00, 90.00 degrees
Sites, in units of the cell vectors:
S  0.000  0.000  0.500
Te  0.500  0.500  0.500
Zr  0.000  0.000  0.000
Cl  0.000  0.500  0.000
Cl  0.500  0.000  0.000

***

Record 6
Here is a geometry-optimized ZrTeS2Cl structure from the Alexandria database. Energies are from GGA-PBE.

Properties
**Total energy**: -24.34 eV per formula unit
**Raw formation energy**: -0.5106 eV per atom

Cell lengths 5.060, 5.060, 4.969 Å; angles 90.00, 90.00, 90.00 degrees
Sites, in units of the cell vectors:
S  0.000  0.500  0.000
S  0.500  0.000  0.000
Te  0.500  0.500  0.500
Zr  0.000  0.000  0.000
Cl  0.000  0.000  0.500